1.
A plane-wave DFT calculation with PBE-GGA was carried out for crystalline Dy2Ga5Cu5 at its relaxed geometry.

The value obtained for the formation energy is -7.4 kcal/mol of atoms. The calculation puts the density of states at the Fermi level at 0.378 states/eV/atom. For the calculated total energy, the calculation gives -4.057 eV per atom. The value obtained for the volume is 16.44 A^3/atom. The mass density comes out at 8.3 g/cm³.

The space group is Pmmm (No. 47) and the conventional cell measures 4.040, 5.239 and 9.324 Å, with angles of 90.00, 90.00 and 90.00 degrees. The asymmetric unit holds Dy at (0.000, 0.000, 0.000), Dy at (0.000, 0.500, 0.500), Ga at (0.000, 0.000, 0.315), Ga at (0.000, 0.500, 0.167), Ga at (0.500, 0.000, 0.500), Cu at (0.500, 0.253, 0.249) and Cu at (0.500, 0.500, 0.000).

---

2.
A plane-wave DFT calculation with PBE-GGA was carried out for crystalline Dy3Ga8Cu3 at its relaxed geometry.

The value obtained for the formation energy is -11.1 kcal/mol of atoms. The calculation puts the density of states at the Fermi level at 0.225 states/eV/atom. For the calculated total energy, the calculation gives -4.073 eV per atom. The value obtained for the volume is 17.72 A^3/atom. The mass density comes out at 8.3 g/cm³. The relative energy among the computed polymorphs is 0.000 eV/atom.

The space group is Immm (No. 71) and the conventional cell measures 4.262, 9.363 and 12.436 Å, with angles of 90.00, 90.00 and 90.00 degrees. The asymmetric unit holds Dy at (0.000, 0.000, 0.000), Dy at (0.000, 0.000, 0.302), Ga at (0.000, 0.289, 0.131), Ga at (0.000, 0.364, 0.346), Cu at (0.000, 0.184, 0.500) and Cu at (0.000, 0.500, 0.000).